Model A:
Entry from the Alexandria database: crystalline CaV2Pt2 at its relaxed geometry (GGA-PBE).

Structure (extended XYZ):
```
10
Lattice="7.8039 0.0000 0.0000 0.0000 7.8039 0.0000 0.0000 0.0000 2.7609" Properties=species:S:1:pos:R:3 pbc="T T T"
Ca 0.0000 0.0000 0.0000
Ca 3.9019 3.9019 0.0000
V 0.8513 3.0506 0.0000
V 3.0506 6.9526 0.0000
V 4.7533 0.8513 0.0000
V 6.9526 4.7533 0.0000
Pt 1.3963 5.2982 1.3805
Pt 2.5057 1.3963 1.3805
Pt 5.2982 6.4076 1.3805
Pt 6.4076 2.5057 1.3805
```

Output
total moment	0.00	μB/cell
ρ	10.51	g cm⁻³



Model B:
Entry from the Alexandria database: crystalline CaV2Pt2 at its relaxed geometry (GGA-PBE).

Structure (extended XYZ):
```
5
Lattice="-2.0917 2.0917 5.4586 2.0917 -2.0917 5.4586 2.0917 2.0917 -5.4586" Properties=species:S:1:pos:R:3 pbc="T T T"
Ca 0.0000 0.0000 0.0000
V 2.0917 0.0000 2.7293
V 0.0000 2.0917 2.7293
Pt 0.0000 0.0000 4.1426
Pt 0.0000 0.0000 6.7746
```

Output
total moment	2.10	μB/cell
ρ	9.25	g cm⁻³



Model C:
Entry from the Alexandria database: crystalline CaV2Pt2 at its relaxed geometry (GGA-PBE).

Structure (extended XYZ):
```
10
Lattice="7.8041 0.0000 0.0000 0.0000 7.8041 0.0000 0.0000 0.0000 2.8076" Properties=species:S:1:pos:R:3 pbc="T T T"
Ca 0.0000 0.0000 0.0000
Ca 3.9020 3.9020 0.0000
V 1.2708 2.6312 1.4038
V 2.6312 6.5332 1.4038
V 5.1729 1.2708 1.4038
V 6.5332 5.1729 1.4038
Pt 1.0243 4.9263 0.0000
Pt 2.8777 1.0243 0.0000
Pt 4.9263 6.7798 0.0000
Pt 6.7798 2.8777 0.0000
```

Output
total moment	4.65	μB/cell
ρ	10.34	g cm⁻³



Which one is most stable, and which one is least stable? model A is the most stable of them, while model C is the least stable.



Model A:
Entry from the Alexandria database: crystalline Ca2VPt at its relaxed geometry (GGA-PBE).

Structure (extended XYZ):
```
8
Lattice="-5.1682 5.1682 2.4552 5.1682 -5.1682 2.4552 5.1682 5.1682 -2.4552" Properties=species:S:1:pos:R:3 pbc="T T T"
Ca 1.0139 2.5841 0.6138
Ca -2.5841 4.1542 1.8414
Ca -1.0139 7.7522 0.6138
Ca 2.5841 6.1821 1.8414
V 5.1682 0.0000 1.2276
V 0.0000 0.0000 2.4552
Pt 0.0000 0.0000 0.0000
Pt 0.0000 5.1682 1.2276
```

Output
total moment	6.40	μB/cell
ρ	4.13	g cm⁻³



Model B:
Entry from the Alexandria database: crystalline Ca2VPt at its relaxed geometry (GGA-PBE).

Structure (extended XYZ):
```
4
Lattice="0.0000 3.5726 3.5726 3.5726 0.0000 3.5726 3.5726 3.5726 0.0000" Properties=species:S:1:pos:R:3 pbc="T T T"
Ca 1.7863 1.7863 1.7863
Ca 5.3590 5.3590 5.3590
V 0.0000 0.0000 0.0000
Pt 3.5726 3.5726 3.5726
```

Output
total moment	4.66	μB/cell
ρ	5.94	g cm⁻³



Which one is most stable, and which one is least stable? model B is the most stable of them, while model A is the least stable.



Model A:
Entry from the Alexandria database: crystalline CaV3Pt at its relaxed geometry (GGA-PBE).

Structure (extended XYZ):
```
5
Lattice="4.2912 0.0000 0.0000 0.0000 4.2912 0.0000 0.0000 0.0000 4.2912" Properties=species:S:1:pos:R:3 pbc="T T T"
Ca 0.0000 0.0000 0.0000
V 0.0000 0.0000 2.1456
V 0.0000 2.1456 0.0000
V 2.1456 0.0000 0.0000
Pt 2.1456 2.1456 2.1456
```

Output
total moment	0.00	μB/cell
ρ	8.15	g cm⁻³



Model B:
Entry from the Alexandria database: crystalline CaV3Pt at its relaxed geometry (GGA-PBE).

Structure (extended XYZ):
```
5
Lattice="4.8448 0.0000 0.0000 0.0000 4.8448 0.0000 0.0000 0.0000 4.8448" Properties=species:S:1:pos:R:3 pbc="T T T"
Ca 0.0000 0.0000 0.0000
V 0.0000 2.4224 2.4224
V 2.4224 0.0000 2.4224
V 2.4224 2.4224 0.0000
Pt 2.4224 2.4224 2.4224
```

Output
total moment	6.11	μB/cell
ρ	5.67	g cm⁻³



Which one is most stable, and which one is least stable? model B is the most stable of them, while model A is the least stable.